Below is a relaxed NaBeCoF6 crystal, with properties calculated at the GGA+U level.

POSCAR file:
```
NaBeCoF6
1.0
4.7920 0.0000 0.0000
-2.3960 4.1500 0.0000
0.0000 0.0000 10.0976
Na Be Co F
2 2 2 12
direct
0.0000 0.0000 0.0000
0.0000 0.0000 0.5000
0.3333 0.6667 0.2500
0.6667 0.3333 0.7500
0.3333 0.6667 0.7500
0.6667 0.3333 0.2500
0.0142 0.3745 0.1510
0.0142 0.6397 0.3490
0.3603 0.3745 0.3490
0.3603 0.9858 0.1510
0.3745 0.0142 0.6510
0.3745 0.3603 0.8490
0.6255 0.6397 0.1510
0.6255 0.9858 0.3490
0.6397 0.0142 0.8490
0.6397 0.6255 0.6510
0.9858 0.3603 0.6510
0.9858 0.6255 0.8490
```

As for the uncorrected energy: -4.8312 eV per atom. The size of the total moment comes out at 0.1 μB/f.u.